# PBE-GGA SrMg2Ti2, relaxed
# * formation enthalpy at 0 K: 307 meV per atom
# * total magnetization: 1.65 μB per formula unit
data_SrMg2Ti2
_chemical_formula_sum 'Sr2 Mg4 Ti4'
_cell_length_a 8.669
_cell_length_b 8.669
_cell_length_c 3.223
_cell_angle_alpha 90.00
_cell_angle_beta 90.00
_cell_angle_gamma 90.00
_symmetry_space_group_name_H-M 'P 4/m b m'
_symmetry_Int_Tables_number 127
_symmetry_space_group_name_Hall '-P 4 2ab'
loop_
_atom_site_label
_atom_site_type_symbol
_atom_site_fract_x
_atom_site_fract_y
_atom_site_fract_z
Sr1 Sr 0.000 0.000 0.000
Mg1 Mg 0.184 0.316 0.500
Ti1 Ti 0.099 0.599 0.000

=====

# PBE-GGA YbMnGe, relaxed
# * formation enthalpy at 0 K: -350 meV per atom
# * total magnetization: 3.77 μB per formula unit
data_YbMnGe
_chemical_formula_sum 'Yb3 Mn3 Ge3'
_cell_length_a 6.8724
_cell_length_b 6.8724
_cell_length_c 4.2972
_cell_angle_alpha 90.00
_cell_angle_beta 90.00
_cell_angle_gamma 120.00
_symmetry_space_group_name_H-M 'P -6 2 m'
_symmetry_Int_Tables_number 189
_symmetry_space_group_name_Hall 'P -6 -2'
loop_
_atom_site_label
_atom_site_type_symbol
_atom_site_fract_x
_atom_site_fract_y
_atom_site_fract_z
Yb1 Yb 0.0000 0.5714 0.0000
Mn1 Mn 0.0000 0.2320 0.5000
Ge1 Ge 0.0000 0.0000 0.0000
Ge2 Ge 0.3333 0.6667 0.5000

=====

# PBE-GGA LiLa2PaTe5, relaxed
# * total magnetization: 1.37 μB per formula unit
# * ΔE_f (raw): -118.6 kJ per mole of atoms
data_LiLa2PaTe5
_chemical_formula_sum 'Li4 La8 Pa4 Te20'
_cell_length_a 4.439
_cell_length_b 18.925
_cell_length_c 13.428
_cell_angle_alpha 90.00
_cell_angle_beta 90.00
_cell_angle_gamma 90.00
_symmetry_space_group_name_H-M 'C m c 21'
_symmetry_Int_Tables_number 36
loop_
_symmetry_equiv_pos_as_xyz
'x,y,z'
'-x,-y,z+1/2'
'-x,y,z'
'x,-y,z+1/2'
'x+1/2,y+1/2,z'
'-x+1/2,-y+1/2,z+1/2'
'-x+1/2,y+1/2,z'
'x+1/2,-y+1/2,z+1/2'
loop_
_atom_site_label
_atom_site_type_symbol
_atom_site_fract_x
_atom_site_fract_y
_atom_site_fract_z
Li1 Li 0.000 0.057 0.000
La1 La 0.000 0.373 0.850
La2 La 0.000 0.391 0.233
Pa1 Pa 0.000 0.301 0.556
Te1 Te 0.000 0.003 0.321
Te2 Te 0.000 0.137 0.547
Te3 Te 0.000 0.188 0.894
Te4 Te 0.000 0.213 0.216
Te5 Te 0.000 0.453 0.610